Entry 1:
A crystal of HoNi12B6 relaxed with PBEsol. Source: the Alexandria database, functional meta-GGA SCAN.

Calculated formation energy (meV per atom): -407.9
Energy (eV per formula unit): -295.40
Spin magnetization (μB/cell): 0.0
N(E_F) (states/eV per atom): 0.4169

Cell and atoms, written as CIF:
```
data_HoNi12B6
_chemical_formula_sum 'Ho4 Ni48 B24'
_space_group_name_H-M_alt 'C m c 21'
_space_group_IT_number 36
_cell_length_a 9.427
_cell_length_b 7.270
_cell_length_c 10.833
_cell_angle_alpha 90.00
_cell_angle_beta 90.00
_cell_angle_gamma 90.00
loop_
_space_group_symop_operation_xyz
'x,y,z'
'-x,-y,z+1/2'
'-x,y,z'
'x,-y,z+1/2'
'x+1/2,y+1/2,z'
'-x+1/2,-y+1/2,z+1/2'
'-x+1/2,y+1/2,z'
'x+1/2,-y+1/2,z+1/2'
loop_
_atom_site_label
_atom_site_fract_x
_atom_site_fract_y
_atom_site_fract_z
Ho1 0.000 0.167 0.000
Ni1 0.000 0.215 0.397
Ni2 0.000 0.436 0.575
Ni3 0.130 0.326 0.762
Ni4 0.131 0.012 0.241
Ni5 0.131 0.342 0.218
Ni6 0.183 0.186 0.558
Ni7 0.195 0.464 0.427
B1 0.000 0.164 0.655
B2 0.000 0.487 0.342
B3 0.207 0.195 0.372
B4 0.217 0.455 0.611
```

Entry 2:
A crystal of HoNiB4 relaxed with PBEsol. Source: the Alexandria database, functional meta-GGA SCAN.

Calculated formation energy (meV per atom): -642.6
Energy (eV per formula unit): -98.73
Spin magnetization (μB/cell): 0.0
N(E_F) (states/eV per atom): 0.2502

Cell and atoms, written as CIF:
```
data_HoNiB4
_chemical_formula_sum 'Ho8 Ni8 B32'
_space_group_name_H-M_alt 'I 4/m m m'
_space_group_IT_number 139
_space_group_name_Hall '-I 4 2'
_cell_length_a 7.440
_cell_length_b 7.440
_cell_length_c 8.444
_cell_angle_alpha 90.00
_cell_angle_beta 90.00
_cell_angle_gamma 90.00
loop_
_atom_site_label
_atom_site_fract_x
_atom_site_fract_y
_atom_site_fract_z
Ho1 0.000 0.000 0.202
Ho2 0.000 0.500 0.250
Ni1 0.000 0.228 0.500
B1 0.112 0.276 0.000
B2 0.232 0.232 0.347
```

Entry 3:
A crystal of Ho4B6O15 relaxed with PBEsol. Source: the Alexandria database, functional meta-GGA SCAN.

Energy (eV per formula unit): -415.16
Spin magnetization (μB/cell): 0.0
N(E_F) (states/eV per atom): 0.0000
Raw formation energy (meV/atom): -3247

Cell and atoms, written as CIF:
```
data_Ho4B6O15
_chemical_formula_sum 'Ho16 B24 O60'
_space_group_name_H-M_alt 'C 1 2/c 1'
_space_group_IT_number 15
_cell_length_a 11.601
_cell_length_b 4.346
_cell_length_c 18.612
_cell_angle_alpha 90.00
_cell_angle_beta 96.49
_cell_angle_gamma 90.00
loop_
_space_group_symop_operation_xyz
'x,y,z'
'-x,-y,-z'
'-x,y,-z+1/2'
'x,-y,z+1/2'
'x+1/2,y+1/2,z'
'-x+1/2,-y+1/2,-z'
'-x+1/2,y+1/2,-z+1/2'
'x+1/2,-y+1/2,z+1/2'
loop_
_atom_site_label
_atom_site_fract_x
_atom_site_fract_y
_atom_site_fract_z
Ho1 0.136 0.203 0.100
Ho2 0.137 0.214 0.304
B1 0.068 0.268 0.695
B2 0.095 0.296 0.913
B3 0.169 0.189 0.475
O1 0.000 0.128 0.750
O2 0.016 0.174 0.621
O3 0.065 0.402 0.197
O4 0.083 0.370 0.430
O5 0.128 0.124 0.980
O6 0.179 0.261 0.860
O7 0.183 0.128 0.704
O8 0.210 0.297 0.550
```

Entry 4:
A crystal of Ho9B4O19 relaxed with PBEsol. Source: the Alexandria database, functional meta-GGA SCAN.

Energy (eV per formula unit): -703.05
Spin magnetization (μB/cell): 2.0
Raw formation energy (meV/atom): -3564

Cell and atoms, written as CIF:
```
data_Ho9B4O19
_chemical_formula_sum 'Ho18 B8 O38'
_space_group_name_H-M_alt 'P -1'
_space_group_IT_number 2
_cell_length_a 7.166
_cell_length_b 9.170
_cell_length_c 12.480
_cell_angle_alpha 79.15
_cell_angle_beta 81.68
_cell_angle_gamma 78.83
loop_
_space_group_symop_operation_xyz
'x,y,z'
'-x,-y,-z'
loop_
_atom_site_label
_atom_site_fract_x
_atom_site_fract_y
_atom_site_fract_z
Ho1 0.021 0.160 0.235
Ho2 0.078 0.645 0.545
Ho3 0.119 0.114 0.907
Ho4 0.183 0.542 0.236
Ho5 0.247 0.994 0.517
Ho6 0.313 0.483 0.766
Ho7 0.375 0.896 0.098
Ho8 0.423 0.353 0.456
Ho9 0.467 0.842 0.765
B1 0.161 0.189 0.680
B2 0.222 0.640 0.990
B3 0.286 0.337 0.034
B4 0.343 0.820 0.321
O1 0.015 0.118 0.413
O2 0.026 0.606 0.734
O3 0.085 0.035 0.087
O4 0.119 0.291 0.752
O5 0.148 0.499 0.413
O6 0.176 0.229 0.569
O7 0.180 0.734 0.068
O8 0.187 0.034 0.725
O9 0.236 0.682 0.880
O10 0.246 0.490 0.046
O11 0.284 0.242 0.132
O12 0.317 0.970 0.268
O13 0.321 0.297 0.932
O14 0.322 0.783 0.433
O15 0.353 0.501 0.590
O16 0.389 0.712 0.252
O17 0.395 0.972 0.917
O18 0.447 0.393 0.267
O19 0.470 0.118 0.413
```

Entry 5:
A crystal of Ho2B3O8 relaxed with PBEsol. Source: the Alexandria database, functional meta-GGA SCAN.

Energy (eV per formula unit): -210.07
Spin magnetization (μB/cell): 4.2
N(E_F) (states/eV per atom): 0.0333
Raw formation energy (meV/atom): -3073

Cell and atoms, written as CIF:
```
data_Ho2B3O8
_chemical_formula_sum 'Ho8 B12 O32'
_space_group_name_H-M_alt 'P b c n'
_space_group_IT_number 60
_cell_length_a 12.771
_cell_length_b 4.311
_cell_length_c 8.805
_cell_angle_alpha 90.00
_cell_angle_beta 90.00
_cell_angle_gamma 90.00
loop_
_space_group_symop_operation_xyz
'x,y,z'
'-x,-y,-z'
'-x+1/2,-y+1/2,z+1/2'
'x+1/2,y+1/2,-z+1/2'
'x+1/2,-y+1/2,-z'
'-x+1/2,y+1/2,z'
'-x,y,-z+1/2'
'x,-y,z+1/2'
loop_
_atom_site_label
_atom_site_fract_x
_atom_site_fract_y
_atom_site_fract_z
Ho1 0.138 0.051 0.037
B1 0.000 0.428 0.750
B2 0.193 0.483 0.302
O1 0.005 0.215 0.880
O2 0.094 0.369 0.238
O3 0.188 0.462 0.466
O4 0.215 0.197 0.747
```

Entry 6:
A crystal of Ho2ReB6 relaxed with PBEsol. Source: the Alexandria database, functional meta-GGA SCAN.

Calculated formation energy (meV per atom): -716.6
Energy (eV per formula unit): -220.10
Spin magnetization (μB/cell): 0.0
N(E_F) (states/eV per atom): 0.2036

Cell and atoms, written as CIF:
```
data_Ho2ReB6
_chemical_formula_sum 'Ho8 Re4 B24'
_space_group_name_H-M_alt 'P b a m'
_space_group_IT_number 55
_cell_length_a 9.101
_cell_length_b 11.459
_cell_length_c 3.625
_cell_angle_alpha 90.00
_cell_angle_beta 90.00
_cell_angle_gamma 90.00
loop_
_space_group_symop_operation_xyz
'x,y,z'
'-x,-y,-z'
'-x,-y,z'
'x,y,-z'
'x+1/2,-y+1/2,-z'
'-x+1/2,y+1/2,z'
'-x+1/2,y+1/2,-z'
'x+1/2,-y+1/2,z'
loop_
_atom_site_label
_atom_site_fract_x
_atom_site_fract_y
_atom_site_fract_z
Ho1 0.057 0.130 0.000
Ho2 0.177 0.414 0.000
Re1 0.138 0.679 0.000
B1 0.019 0.288 0.500
B2 0.053 0.567 0.500
B3 0.100 0.972 0.500
B4 0.130 0.815 0.500
B5 0.208 0.235 0.500
B6 0.249 0.581 0.500
```

Q: Which of these has the lowest energy?
A: Ho9B4O19

Q: Which value of energy does entry 6 give?
A: -220.10 eV per formula unit